Below is a geometry-optimized Ag2SeBr structure, with properties calculated at the PBE level.

**Volume**: 86.69 Å³ per cell
**Final energy**: -10.59 eV for the cell shown
**Excess energy over the best structure of this formula in the dataset**: 209 meV/atom
**Magnetic moment**: 0.00 μB/atom
**Space-group type**: P4/mmm, No. 123

a b c (Å): 3.442 3.442 7.318
angles (deg): 90.00 90.00 90.00
Atoms (fractional coordinates):
1 Ag 0.000 0.000 0.527
2 Ag 0.000 0.000 0.973
3 Br 0.500 0.500 0.250
4 Se 0.500 0.500 0.750

=====

Below is a geometry-optimized AgSe2Br structure, with properties calculated at the PBE level.

**Volume**: 100.32 Å³ per cell
**Final energy**: -10.34 eV for the cell shown
**Excess energy over the best structure of this formula in the dataset**: 414 meV/atom
**Magnetic moment**: 0.00 μB/atom
**Space-group type**: R-3m, No. 166

a b c (Å): 12.856 12.856 12.856
angles (deg): 13.47 13.47 13.47
Atoms (fractional coordinates):
1 Br 0.500 0.500 0.500
2 Se 0.066 0.066 0.066
3 Se 0.934 0.934 0.934
4 Ag 0.000 0.000 0.000

=====

Below is a geometry-optimized Ag2SeBr structure, with properties calculated at the PBE level.

**Volume**: 86.54 Å³ per cell
**Final energy**: -10.08 eV for the cell shown
**Excess energy over the best structure of this formula in the dataset**: 337 meV/atom
**Magnetic moment**: 0.17 μB/atom
**Space-group type**: Fm-3m, No. 225

a b c (Å): 4.965 4.965 4.965
angles (deg): 60.00 60.00 60.00
Atoms (fractional coordinates):
1 Ag 0.750 0.750 0.750
2 Ag 0.250 0.250 0.250
3 Se 0.000 0.000 0.000
4 Br 0.500 0.500 0.500

=====

Below is a geometry-optimized Ag4SeBr3 structure, with properties calculated at the PBE level.

**Volume**: 230.29 Å³ per cell
**Final energy**: -20.98 eV for the cell shown
**Excess energy over the best structure of this formula in the dataset**: 43 meV/atom
**Magnetic moment**: 0.00 μB/atom
**Space-group type**: Imm2, No. 44

a b c (Å): 6.694 6.694 6.694
angles (deg): 105.96 110.90 111.62
Atoms (fractional coordinates):
1 Ag 0.512 0.260 0.252
2 Ag 0.245 0.307 0.553
3 Ag 0.992 0.740 0.252
4 Ag 0.245 0.693 0.938
5 Br 0.028 0.000 0.028
6 Br 0.572 0.242 0.813
7 Br 0.572 0.758 0.330
8 Se 0.985 0.500 0.485